No. 1
! Yb3Al5O12 PBE relaxed; values from VASP
! Calculated volume: 887.1 Å³/cell
! Total magnetization: 12.408 μB/cell
! Formation energy from raw total energies: -284.9 kJ per mole of atoms
! Density: 6.334 g cm⁻³
! Density of states at the Fermi level: 88.74 states/eV per cell
! Energy: -0.2606 hartree per atom
&SYSTEM
  ibrav = 0, nat = 80, ntyp = 3
/
ATOMIC_SPECIES
O 16.00 O.upf
Al 26.98 Al.upf
Yb 173.04 Yb.upf
CELL_PARAMETERS angstrom
-1.2468 -3.6185 -9.7607
9.8466 3.3790 1.2434
-1.9472 -7.6911 6.8538
ATOMIC_POSITIONS angstrom
O 1.3745 -5.9219 6.3904
O 1.5096 -6.4414 -4.3410
O 5.9956 -4.9045 2.4241
O 3.9562 -5.4692 5.8928
O 1.7103 -6.8309 1.0538
O 0.6571 -3.0261 -4.0876
O 5.6627 -0.8578 -5.4192
O 5.2781 -2.0087 -8.0540
O 1.7055 -0.3017 0.8654
O 3.1611 -1.5763 -4.8333
O 8.2113 -2.2692 4.9179
O 3.0387 -5.5242 -1.9434
O -1.1528 -7.5289 -4.7198
O 0.0870 -5.2557 -2.3217
O 0.9900 -7.0728 3.7557
O -1.7888 -9.6703 0.2103
O 2.6964 -2.4613 -7.5564
O 0.6025 -4.4491 2.4779
O 0.8722 -0.4703 -1.6634
O 4.9471 -7.6289 -2.5290
O 4.9424 -1.0997 -2.7173
O 5.1007 -3.8665 -1.6002
O 1.5519 -4.0641 -0.0633
O 8.0601 -0.3708 0.0793
O 5.1263 -0.1372 0.0129
O 3.3449 -3.6275 2.9450
O -0.7562 -5.9325 0.2684
O 3.4916 -6.3543 3.1698
O -1.4182 -7.9655 2.2287
O 7.4088 -1.9981 -1.9319
O 6.0502 -3.4815 -4.1414
O 1.1958 -4.7705 -6.3970
O 1.5264 -7.7934 -1.6764
O 3.3077 -4.3031 -4.6085
O 5.7804 -7.4603 -0.0002
O 2.5799 -2.7633 -2.1535
O 6.9972 -6.0404 -1.9031
O -0.3446 -1.8902 0.2395
O 3.6139 -2.4064 0.2799
O 6.5657 -2.6749 0.6582
O 7.8055 -0.4017 3.0563
O 5.4569 -3.1601 4.7335
O 8.4415 1.7398 -1.8738
O 8.0709 0.0349 -3.8922
O -1.5586 -5.6614 -6.5814
O 5.1431 -1.4891 2.6775
O -1.4075 -7.5598 -1.7429
O 4.0727 -5.1673 0.4899
Al 5.8755 -2.6115 -2.5977
Al 0.7771 -5.3191 0.9342
Al -1.3205 -8.5121 -3.2449
Al 0.0000 0.0000 0.0000
Al 7.4373 -0.7186 -5.3758
Al 1.1273 -3.2828 -7.3730
Al -0.6234 -1.8092 -4.8804
Al 5.5253 -4.6478 5.7095
Al 3.9497 -2.1560 4.0486
Al -1.5970 -5.6548 -1.4535
Al 2.4264 -2.9172 -3.9207
Al 5.1122 -1.6769 0.9071
Al 7.9731 0.5816 1.5813
Al -0.7846 -7.2120 3.7123
Al 4.2999 -0.1197 -4.2587
Al 4.2262 -5.0134 2.2572
Al 3.3263 -3.9653 -0.8318
Al 4.9233 1.6895 0.6217
Al -0.9736 -3.8456 3.4269
Al 1.5404 -6.2537 -2.5706
Yb -0.4344 -5.1757 -4.5949
Yb 3.5153 -7.3317 -0.5464
Yb 0.2765 -2.8573 -1.7914
Yb 5.0770 -5.4389 -3.3245
Yb 6.6740 0.2160 -1.8710
Yb 3.1374 -0.5989 -1.1172
Yb 6.3762 -5.0732 0.1279
Yb -0.0214 -8.1465 0.2075
Yb 1.5756 -2.4917 1.6609
Yb 4.5764 -2.9771 -6.0501
Yb 2.0762 -4.9535 4.3865
Yb 7.0871 -2.7549 2.9314

=====

No. 2
! AlZnO2 PBE relaxed; values from VASP
! Calculated volume: 101.4 Å³/cell
! Total magnetization: 0.000 μB/cell
! Formation energy from raw total energies: -180.7 kJ per mole of atoms
! Density: 4.076 g cm⁻³
! Density of states at the Fermi level: 0.77 states/eV per cell
! Energy: -0.2060 hartree per atom
! Energy above the lowest structure with this stoichiometry: 0.550 eV/f.u.
&SYSTEM
  ibrav = 0, nat = 8, ntyp = 3
/
ATOMIC_SPECIES
O 16.00 O.upf
Al 26.98 Al.upf
Zn 65.41 Zn.upf
CELL_PARAMETERS angstrom
-2.4609 0.8501 4.0835
-3.3571 -3.2175 -1.3533
-0.7000 -4.3233 3.3499
ATOMIC_POSITIONS angstrom
O -5.3142 -5.0250 5.0229
O -1.9117 -1.0280 2.8538
O -2.8018 -2.9092 0.8688
O -3.0082 -4.4192 3.4147
Al -2.9090 -1.1837 1.3651
Al -3.4830 -4.3623 1.6809
Zn 0.0000 0.0000 0.0000
Zn -3.0349 -2.3284 4.3993

=====

No. 3
! Al2ZnO4 PBE relaxed; values from VASP
! Calculated volume: 84.6 Å³/cell
! Total magnetization: 0.000 μB/cell
! Formation energy from raw total energies: -236.3 kJ per mole of atoms
! Density: 3.601 g cm⁻³
! Density of states at the Fermi level: 0.00 states/eV per cell
! Energy: -0.2401 hartree per atom
&SYSTEM
  ibrav = 0, nat = 7, ntyp = 3
/
ATOMIC_SPECIES
Al 26.98 Al.upf
O 16.00 O.upf
Zn 65.41 Zn.upf
CELL_PARAMETERS angstrom
-0.4075 -0.3584 -4.2495
0.6665 -4.2218 0.2921
-4.5301 -0.6812 0.4918
ATOMIC_POSITIONS angstrom
Al -2.4688 -0.5198 -1.8788
Al -1.9318 -2.4515 0.3920
O -1.2614 -1.3203 -0.8249
O -3.3499 -1.7860 -2.7898
O -2.8017 -3.7580 -0.4716
O -1.1291 -3.6582 -2.8449
Zn 0.0000 0.0000 0.0000

=====

Q: Which of these has the lowest density?
A: Al2ZnO4

=====

What did the third record say?
! Al2ZnO4 PBE relaxed; values from VASP
! Calculated volume: 84.6 Å³/cell
! Total magnetization: 0.000 μB/cell
! Formation energy from raw total energies: -236.3 kJ per mole of atoms
! Density: 3.601 g cm⁻³
! Density of states at the Fermi level: 0.00 states/eV per cell
! Energy: -0.2401 hartree per atom
&SYSTEM
  ibrav = 0, nat = 7, ntyp = 3
/
ATOMIC_SPECIES
Al 26.98 Al.upf
O 16.00 O.upf
Zn 65.41 Zn.upf
CELL_PARAMETERS angstrom
-0.4075 -0.3584 -4.2495
0.6665 -4.2218 0.2921
-4.5301 -0.6812 0.4918
ATOMIC_POSITIONS angstrom
Al -2.4688 -0.5198 -1.8788
Al -1.9318 -2.4515 0.3920
O -1.2614 -1.3203 -0.8249
O -3.3499 -1.7860 -2.7898
O -2.8017 -3.7580 -0.4716
O -1.1291 -3.6582 -2.8449
Zn 0.0000 0.0000 0.0000